A plane-wave DFT calculation with GGA-PBEsol was carried out for crystalline SbMoIr2 at its relaxed geometry.

It has space group I-42d (No. 122), with a = 5.729 Å, b = 5.729 Å, c = 11.331 Å, α = 90.00°, β = 90.00° and γ = 90.00°. The asymmetric unit holds Sb at (0.000, 0.000, 0.000), Mo at (0.000, 0.000, 0.500) and Ir at (0.227, 0.250, 0.625).

The calculation puts the total moment at 0.0 μB per formula unit. The calculation puts the volume at 371.9 Å³ per cell. The formation energy (no corrections) comes out at 0.706 eV/atom. As for the crystal system: tetragonal. The raw total energy comes out at -8.2869 eV/atom.